# PBE-GGA SbPtSe, optimized geometry
# **DOS(E_F)**: 0.734 states/eV per atom
# **Calculated total energy**: -4.5070 eV/atom
# **Total magnetic moment**: 0.0 μB per formula unit
data_SbPtSe
_chemical_formula_sum 'Sb4 Pt4 Se4'
_symmetry_space_group_name_H-M 'F m m 2'
_symmetry_Int_Tables_number 42
_symmetry_space_group_name_Hall 'F 2 -2'
_cell_length_a 4.4050
_cell_length_b 5.2897
_cell_length_c 11.4615
_cell_angle_alpha 90.00
_cell_angle_beta 90.00
_cell_angle_gamma 90.00
loop_
_atom_site_label
_atom_site_type_symbol
_atom_site_fract_x
_atom_site_fract_y
_atom_site_fract_z
Sb1 Sb 0.0000 0.0000 0.0000
Pt1 Pt 0.0000 0.0000 0.3679
Se1 Se 0.0000 0.0000 0.7362